ScV3Ni after structural relaxation, computed with PBE-GGA.

abc: 4.404 4.404 4.404
angles: 90.00 90.00 90.00
Atoms (fractional coordinates):
Sc  0.000  0.000  0.000
Ni  0.500  0.500  0.500
V  0.000  0.500  0.000
V  0.000  0.000  0.500
V  0.500  0.000  0.000

ΔE_f = 1.785 eV/atom
DOS(E_F) = 7.0 states/eV per cell

TlSiOsO6 after structural relaxation, computed with PBE-GGA.

abc: 5.014 5.014 5.944
angles: 90.00 90.00 60.00
Atoms (fractional coordinates):
Tl  0.000  0.000  0.000
Si  0.667  0.667  0.500
Os  0.333  0.333  0.500
O  0.985  0.406  0.324
O  0.406  0.985  0.676
O  0.609  0.406  0.676
O  0.985  0.609  0.676
O  0.406  0.609  0.324
O  0.609  0.985  0.324

Formation energy (no corrections) = -1230.7 kJ/mol of formula units
DOS(E_F) = 1.0 states/eV per cell

TmTh2Sn after structural relaxation, computed with PBE-GGA.

abc: 5.206 6.856 6.832
angles: 103.15 90.00 90.00
Atoms (fractional coordinates):
Tm  0.250  0.382  0.708
Tm  0.750  0.618  0.292
Th  0.250  0.859  0.602
Th  0.750  0.141  0.398
Th  0.250  0.861  0.085
Th  0.750  0.139  0.915
Sn  0.250  0.370  0.208
Sn  0.750  0.630  0.792

ΔE_f = -0.300 eV/atom
DOS(E_F) = 9.7 states/eV per cell

Rb2SmPuTe4 after structural relaxation, computed with PBE-GGA.

abc: 4.612 7.995 8.934
angles: 107.38 90.00 90.00
Atoms (fractional coordinates):
Rb  0.500  0.000  0.500
Rb  0.000  0.500  0.500
Sm  0.500  0.500  0.000
Pu  0.000  0.000  0.000
Te  0.500  0.232  0.200
Te  0.500  0.768  0.800
Te  0.000  0.266  0.797
Te  0.000  0.734  0.203

Formation energy (no corrections) = -960.4 kJ/mol of formula units
DOS(E_F) = 13.9 states/eV per cell